(1)
Here is PrEr2Cd after structural relaxation from Alexandria via LeMat-Bulk. Energies are from PBE.

Properties
polymorph energy (0 for the lowest one) = 98.2 meV/atom
spin magnetization = 0.00 μB/cell
VASP energy = -3.76 eV/atom

abc: 3.6131 3.6131 32.3705
angles: 90.00 90.00 120.00
Space group R3m (No. 160, hexagonal axes)
Unique sites:
Pr: 0.0000 0.0000 0.0000
Er: 0.0000 0.0000 0.2419
Er: 0.0000 0.0000 0.4248
Cd: 0.0000 0.0000 0.8336

---

(2)
Here is PrEr7Cd2 after structural relaxation from Alexandria via LeMat-Bulk. Energies are from PBE.

Properties
spin magnetization = 5.04 μB/cell
VASP energy = -3.44 eV/atom

abc: 8.996 15.115 5.402
angles: 90.00 90.00 90.00
Space group Cmmm (No. 65)
Unique sites:
Pr: 0.000 0.000 0.000
Er: 0.000 0.237 0.000
Er: 0.000 0.500 0.500
Er: 0.181 0.121 0.500
Cd: 0.000 0.303 0.500

---

(3)
Here is PrErCd after structural relaxation from Alexandria via LeMat-Bulk. Energies are from PBE.

Properties
polymorph energy (0 for the lowest one) = 72.5 meV/atom
spin magnetization = 0.01 μB/cell
VASP energy = -3.54 eV/atom

abc: 28.808 3.496 3.553
angles: 90.00 90.02 90.00
Space group Cm (No. 8)
Unique sites:
Pr: 0.000 0.000 0.000
Pr: 0.157 0.000 0.000
Er: 0.308 0.000 0.999
Er: 0.392 0.500 0.499
Cd: 0.078 0.500 0.500
Cd: 0.237 0.500 0.499